! AcLaSm5Ho2 (PBE, relaxed); values from VASP
! V = 35.86 Å³ per atom
! Magnetic moment = 0.00 μB per formula unit
! Space group = Cmc2_1, No. 36
! ΔH_f (0 K) = 146 meV per atom
&SYSTEM
  ibrav = 0, nat = 18, ntyp = 4
/
ATOMIC_SPECIES
Ac 227.00 Ac.upf
La 138.91 La.upf
Sm 150.36 Sm.upf
Ho 164.93 Ho.upf
ATOMIC_POSITIONS crystal
Ac 0.1026 0.8974 0.5000
Ac 0.8974 0.1026 0.0000
La 0.2658 0.7342 0.1107
La 0.7342 0.2658 0.6107
Sm 0.0251 0.9749 0.8259
Sm 0.1022 0.8978 0.1079
Sm 0.1878 0.8122 0.8058
Sm 0.2415 0.7585 0.4317
Sm 0.4940 0.5060 0.6048
Sm 0.5060 0.4940 0.1048
Sm 0.7585 0.2415 0.9317
Sm 0.8122 0.1878 0.3058
Sm 0.8978 0.1022 0.6079
Sm 0.9749 0.0251 0.3259
Ho 0.3297 0.6703 0.7440
Ho 0.3880 0.6120 0.3684
Ho 0.6120 0.3880 0.8684
Ho 0.6703 0.3297 0.2440
CELL_PARAMETERS angstrom
2.8193 -11.9852 0.0000
2.8193 11.9852 0.0000
0.0000 0.0000 9.5518